Density functional theory data (PBE) for RbLiY2Te4 after structural relaxation.

Properties
Symmetry = No. 63
Size of the total moment = 0.0 μB/f.u.
Raw formation energy = -1.329 eV per atom
Energy = -78.019 eV/cell

Geometry as CIF:
```
data_RbLiY2Te4
_symmetry_space_group_name_H-M 'P 1'
_symmetry_Int_Tables_number 1
_symmetry_space_group_name_Hall 'P 1'
_cell_length_a 7.909
_cell_length_b 7.909
_cell_length_c 15.776
_cell_angle_alpha 90.00
_cell_angle_beta 90.00
_cell_angle_gamma 146.93
loop_
_atom_site_label
_atom_site_type_symbol
_atom_site_fract_x
_atom_site_fract_y
_atom_site_fract_z
Rb1 Rb 0.112 0.888 0.750
Rb2 Rb 0.888 0.112 0.250
Li1 Li 0.167 0.833 0.250
Li2 Li 0.833 0.167 0.750
Y1 Y 0.367 0.633 0.563
Y2 Y 0.367 0.633 0.937
Y3 Y 0.633 0.367 0.063
Y4 Y 0.633 0.367 0.437
Te1 Te 0.000 0.000 0.000
Te2 Te 0.000 0.000 0.500
Te3 Te 0.265 0.735 0.106
Te4 Te 0.265 0.735 0.394
Te5 Te 0.430 0.570 0.750
Te6 Te 0.570 0.430 0.250
Te7 Te 0.735 0.265 0.606
Te8 Te 0.735 0.265 0.894
```